Here is a relaxed NbCoGe crystal from OQMD. Energies are from PBE-GGA.

a = 4.489 Å, b = 4.014 Å, c = 9.763 Å
α = 90.00°, β = 90.00°, γ = 90.00°
Space group Pnma (No. 62)
Asymmetric unit:
Nb1 0.228 0.250 0.162
Co1 0.189 0.250 0.488
Ge1 0.193 0.250 0.867

- crystal system = orthorhombic

***

Here is a relaxed NbCoGe2 crystal from OQMD. Energies are from PBE-GGA.

a = 6.284 Å, b = 6.284 Å, c = 6.284 Å
α = 90.00°, β = 90.00°, γ = 90.00°
Space group F-43m (No. 216)
Asymmetric unit:
Nb1 0.000 0.000 0.000
Co1 0.250 0.250 0.250
Ge1 0.000 0.000 0.500
Ge2 0.250 0.250 0.750

- crystal system = cubic

***

Here is a relaxed NbCoGe crystal from OQMD. Energies are from PBE-GGA.

a = 4.0514 Å, b = 4.0514 Å, c = 6.2073 Å
α = 90.00°, β = 90.00°, γ = 120.00°
Space group P6_3mc (No. 186)
Asymmetric unit:
Nb1 0.0000 0.0000 0.0000
Co1 0.3333 0.6667 0.3497
Ge1 0.3333 0.6667 0.7462

- crystal system = hexagonal

***

Here is a relaxed Nb6Co16Ge7 crystal from OQMD. Energies are from PBE-GGA.

a = 11.388 Å, b = 11.388 Å, c = 11.388 Å
α = 90.00°, β = 90.00°, γ = 90.00°
Space group Fm-3m (No. 225)
Asymmetric unit:
Nb1 0.000 0.000 0.202
Co1 0.119 0.119 0.381
Co2 0.166 0.166 0.166
Ge1 0.000 0.000 0.500
Ge2 0.000 0.250 0.250

- crystal system = cubic

***

Here is a relaxed NbCoGe crystal from OQMD. Energies are from PBE-GGA.

a = 6.348 Å, b = 3.753 Å, c = 7.173 Å
α = 90.00°, β = 90.00°, γ = 90.00°
Space group Pnma (No. 62)
Asymmetric unit:
Nb1 0.022 0.250 0.184
Co1 0.139 0.250 0.562
Ge1 0.232 0.750 0.382

- crystal system = orthorhombic

***

Here is a relaxed Nb9Co4Ge crystal from OQMD. Energies are from PBE-GGA.

a = 13.188 Å, b = 13.188 Å, c = 5.054 Å
α = 90.00°, β = 90.00°, γ = 90.00°
Space group I4/mcm (No. 140)
Asymmetric unit:
Nb1 0.000 0.500 0.250
Nb2 0.069 0.294 0.000
Nb3 0.087 0.166 0.500
Co1 0.133 0.367 0.500
Co2 0.250 0.250 0.250
Ge1 0.000 0.000 0.250

- crystal system = tetragonal

***

Number 1: VASP energy -89.310 eV/cell. Number 2: VASP energy -102.344 eV/cell. Number 3: VASP energy -46.253 eV/cell. Number 4: VASP energy -861.344 eV/cell. Number 5: VASP energy -92.955 eV/cell. Number 6: VASP energy -505.932 eV/cell.